## LiHfNiAu (PBE)

Data for a relaxed LiHfNiAu crystal.

The calculation puts the electronic total energy at -5.5810 eV/atom.

a = 6.351 Å, b = 6.351 Å, c = 6.351 Å
α = 90.00°, β = 90.00°, γ = 90.00°
Space group F-43m (No. 216)
Asymmetric unit:
Li 0.000 0.000 0.000
Hf 0.000 0.000 0.500
Ni 0.250 0.250 0.250
Au 0.250 0.250 0.750